The following is a PBE-GGA calculation of a relaxed SmEr3B4O12 crystal, from Alexandria via LeMat-Bulk.

Summary:
M_tot   0.00 μB/cell
ρ   5.92 g cm⁻³
Total DFT energy (no corrections)   -499.38 eV for the cell shown
Density of states at the Fermi level   0.000 states/eV/atom

a b c (Å): 10.1077 10.1077 8.4456
angles (deg): 90.00 90.00 120.00
Closest atoms and distances in Å follow each position.
Space group R32 (No. 155, hexagonal axes)
One atom of each set of equivalent atoms:
Sm: 0.0000 0.0000 0.0000 (multiplicity 3)  6 O 2.45
Er: 0.0000 0.5360 0.0000 (multiplicity 9)  6 O 2.24-2.25
B: 0.0000 0.0000 0.5000 (multiplicity 3)  3 O 1.38
B: 0.0000 0.4634 0.5000 (multiplicity 9)  3 O 1.38-1.39
O: 0.0000 0.5997 0.5000 (multiplicity 9)  1 B 1.38
O: 0.0000 0.8635 0.5000 (multiplicity 9)  1 B 1.38
O: 0.0050 0.1982 0.1707 (multiplicity 18)  1 B 1.39

The following is a PBE-GGA calculation of a relaxed ErSnB2O6 crystal, from Alexandria via LeMat-Bulk.

Summary:
M_tot   0.00 μB/cell
ρ   5.42 g cm⁻³
Total DFT energy (no corrections)   -304.62 eV for the cell shown
Density of states at the Fermi level   0.084 states/eV/atom

a b c (Å): 8.0335 9.9884 6.4267
angles (deg): 90.00 106.27 90.00
Closest atoms and distances in Å follow each position.
Space group C2/c (No. 15)
One atom of each set of equivalent atoms:
Er: 0.0000 0.0846 0.2500 (multiplicity 4)  6 O 2.25-2.28
Sn: 0.0000 0.4078 0.7500 (multiplicity 4)  6 O 2.23-2.39
B: 0.2483 0.3420 0.2512 (multiplicity 8)  3 O 1.37-1.41
O: 0.1142 0.0917 0.6117 (multiplicity 8)  1 B 1.37
O: 0.1156 0.4207 0.1157 (multiplicity 8)  1 B 1.41
O: 0.2361 0.2047 0.2416 (multiplicity 8)  1 B 1.38

The following is a PBE-GGA calculation of a relaxed SrEr3B4O12 crystal, from Alexandria via LeMat-Bulk.

Summary:
M_tot   3.15 μB/cell
ρ   5.28 g cm⁻³
Total DFT energy (no corrections)   -481.54 eV for the cell shown
Density of states at the Fermi level   0.513 states/eV/atom

a b c (Å): 10.2073 10.2073 8.6242
angles (deg): 90.00 90.00 120.00
Closest atoms and distances in Å follow each position.
Space group R32 (No. 155, hexagonal axes)
One atom of each set of equivalent atoms:
Sr: 0.0000 0.0000 0.0000 (multiplicity 3)  6 O 2.60
Er: 0.0000 0.5419 0.0000 (multiplicity 9)  6 O 2.20-2.28
B: 0.0000 0.0000 0.5000 (multiplicity 3)  3 O 1.39
B: 0.0000 0.4567 0.5000 (multiplicity 9)  3 O 1.38-1.39
O: 0.0000 0.5929 0.5000 (multiplicity 9)  1 B 1.39
O: 0.0000 0.8642 0.5000 (multiplicity 9)  1 B 1.39
O: 0.0092 0.2070 0.1832 (multiplicity 18)  1 B 1.38

The following is a PBE-GGA calculation of a relaxed Sr3ErB2O8 crystal, from Alexandria via LeMat-Bulk.

Summary:
M_tot   1.04 μB/cell
ρ   5.35 g cm⁻³
Total DFT energy (no corrections)   -101.28 eV for the cell shown
Density of states at the Fermi level   0.420 states/eV/atom

a b c (Å): 5.4577 5.4577 6.9730
angles (deg): 90.00 90.00 120.00
Closest atoms and distances in Å follow each position.
Space group P-3m1 (No. 164)
One atom of each set of equivalent atoms:
Sr: 0.0000 0.0000 0.0000 (multiplicity 1)  6 O 2.77
Sr: 0.3333 0.6667 0.6834 (multiplicity 2)  1 O 2.38
Er: 0.0000 0.0000 0.5000 (multiplicity 1)  6 O 2.19
B: 0.3333 0.6667 0.2338 (multiplicity 2)  4 O 1.46-1.50
O: 0.1845 0.3690 0.3089 (multiplicity 6)  1 B 1.50
O: 0.3333 0.6667 0.0250 (multiplicity 2)  1 B 1.46